Below is a geometry-optimized TbNd6Tm2Sc structure, with properties calculated at the PBE-GGA level.

Total DFT energy (no corrections) (eV/cell): -94.48
SG: C2/c, No. 15

Lattice parameters (Å, degrees): 9.3857 8.9344 8.9344 117.40 93.20 93.20
Sites, in units of the cell vectors:
Nd 0.1120 0.7094 0.4841
Tm 0.0495 0.3029 0.2062
Nd 0.0520 0.1198 0.7701
Nd 0.4480 0.2299 0.8802
Tm 0.5495 0.2062 0.3029
Sc 0.7500 0.5785 0.4215
Nd 0.8880 0.2906 0.5159
Nd 0.6949 0.9898 0.5571
Tm 0.4505 0.7938 0.6971
Sc 0.2500 0.4215 0.5785
Nd 0.8051 0.4429 0.0102
Nd 0.1949 0.5571 0.9898
Tm 0.9505 0.6971 0.7938
Nd 0.6120 0.4841 0.7094
Tb 0.2500 0.9721 0.0279
Nd 0.9480 0.8802 0.2299
Nd 0.3880 0.5159 0.2906
Tb 0.7500 0.0279 0.9721
Nd 0.3051 0.0102 0.4429
Nd 0.5520 0.7701 0.1198